Entry 1:
! MgBiHPd2 (GGA-PBE, optimized geometry); values from VASP
&SYSTEM
  ibrav = 0, nat = 5, ntyp = 4
/
ATOMIC_SPECIES
Pd 106.42 Pd.upf
H 1.01 H.upf
Mg 24.30 Mg.upf
Bi 208.98 Bi.upf
ATOMIC_POSITIONS angstrom
Pd 0.0000 2.1406 0.0000
Pd 2.1406 0.0000 0.0000
H 0.0000 0.0000 0.0000
Mg 0.0000 0.0000 2.1215
Bi 2.1406 2.1406 2.1215
CELL_PARAMETERS angstrom
4.2812 0.0000 0.0000
0.0000 4.2812 0.0000
0.0000 0.0000 4.2430
! Total energy   -4.083 eV/atom
! Magnetic moment   0.00 μB/f.u.



Entry 2:
! PuMgBiH (GGA-PBE, optimized geometry); values from VASP
&SYSTEM
  ibrav = 0, nat = 8, ntyp = 4
/
ATOMIC_SPECIES
Mg 24.30 Mg.upf
Bi 208.98 Bi.upf
H 1.01 H.upf
Pu 244.00 Pu.upf
ATOMIC_POSITIONS angstrom
Mg 0.0000 0.0000 4.3318
Mg 2.2021 2.2021 4.3318
Bi 2.2021 0.0000 6.3205
Bi 0.0000 2.2021 2.3432
H 0.0000 0.0000 0.0000
H 2.2021 2.2021 0.0000
Pu 0.0000 2.2021 7.6918
Pu 2.2021 0.0000 0.9718
CELL_PARAMETERS angstrom
4.4042 0.0000 0.0000
0.0000 4.4042 0.0000
0.0000 0.0000 8.6637
! Total energy   -6.127 eV/atom
! Magnetic moment   5.98 μB/f.u.